Record 1
{
  "formula": "SrLi2Tl2",
  "functional": "PBE-GGA",
  "state": "optimized geometry",
  "lattice": [[4.981, 0.000, 0.000], [0.000, 4.981, 0.000], [-2.491, -2.491, 10.721]],
  "species": ["Sr", "Sr", "Li", "Li", "Li", "Li", "Tl", "Tl", "Tl", "Tl"],
  "frac_coords": [[0.628, 0.628, 0.255], [0.372, 0.372, 0.745], [0.750, 0.250, 0.500], [0.932, 0.932, 0.865], [0.068, 0.068, 0.135], [0.250, 0.750, 0.500], [0.000, 0.500, 0.000], [0.195, 0.195, 0.390], [0.500, 0.000, 0.000], [0.805, 0.805, 0.610]],
  "formation_enthalpy_0k_ev_per_fu": -1.22,
  "e_tot_ev_per_cell": -22.93,
  "n_ef_per_ev_cell": 6.3,
  "de_polymorph_kj_per_mol_fu": 2.0
}



Record 2
{
  "formula": "Gd2SbH",
  "functional": "PBE-GGA",
  "state": "optimized geometry",
  "lattice": [[4.089, 0.000, 0.000], [2.045, 3.541, 0.000], [2.045, 1.180, 6.507]],
  "species": ["Sb", "Gd", "Gd", "H"],
  "frac_coords": [[0.500, 0.500, 0.500], [0.264, 0.264, 0.207], [0.736, 0.736, 0.793], [0.000, 0.000, 0.000]],
  "e_tot_ev_per_cell": -38.00,
  "n_ef_per_ev_cell": 3.0
}



Record 3
{
  "formula": "Ba5Ge2I",
  "functional": "PBE-GGA",
  "state": "optimized geometry",
  "lattice": [[-4.680, 0.459, 7.514], [4.348, -7.058, 3.139], [6.149, 8.502, -1.918]],
  "species": ["Ba", "Ba", "Ba", "Ba", "Ba", "Ba", "Ba", "Ba", "Ba", "Ba", "Ge", "Ge", "Ge", "Ge", "I", "I"],
  "frac_coords": [[0.534, 0.701, 0.735], [0.799, 0.966, 0.265], [0.000, 0.000, 0.000], [0.500, 0.500, 0.000], [0.201, 0.034, 0.735], [0.701, 0.201, 0.735], [0.034, 0.534, 0.735], [0.299, 0.799, 0.265], [0.966, 0.466, 0.265], [0.466, 0.299, 0.265], [0.114, 0.386, 0.000], [0.614, 0.114, 0.000], [0.386, 0.886, 0.000], [0.886, 0.614, 0.000], [0.750, 0.750, 0.500], [0.250, 0.250, 0.500]],
  "e_tot_ev_per_cell": -50.59,
  "raw_formation_energy_mev_per_atom": -612,
  "n_ef_per_ev_cell": 11.7
}